Arrangement A

Compound: ReAgSCl2
Source: the Alexandria database
Functional: PBE
Structure: relaxed

It has space group P4/mmm (No. 123), with a = 4.8369 Å, b = 4.8369 Å, c = 5.1501 Å, α = 90.00°, β = 90.00° and γ = 90.00°. Symmetry generates all atoms from Re at (0.0000, 0.0000, 0.0000), Ag at (0.5000, 0.5000, 0.5000), S at (0.5000, 0.5000, 0.0000) and Cl at (0.0000, 0.5000, 0.5000).


Arrangement B

Compound: ReAgSCl2
Source: the Alexandria database
Functional: PBE
Structure: relaxed

It has space group P4/mmm (No. 123), with a = 4.9892 Å, b = 4.9892 Å, c = 4.4623 Å, α = 90.00°, β = 90.00° and γ = 90.00°. Symmetry generates all atoms from Re at (0.0000, 0.0000, 0.0000), Ag at (0.5000, 0.5000, 0.5000), S at (0.0000, 0.0000, 0.5000) and Cl at (0.0000, 0.5000, 0.0000).


arrangement B wins, 0.904 eV/atom ahead of the next structure.


Arrangement A

Compound: Ag2RhCl
Source: the Alexandria database
Functional: PBE
Structure: relaxed

It has space group Cmmm (No. 65), with a = 5.3895 Å, b = 8.8664 Å, c = 2.9407 Å, α = 90.00°, β = 90.00° and γ = 90.00°. Symmetry generates all atoms from Ag at (0.2500, 0.2500, 0.0000), Rh at (0.0000, 0.0000, 0.5000) and Cl at (0.0000, 0.5000, 0.5000).


Arrangement B

Compound: Ag2RhCl
Source: the Alexandria database
Functional: PBE
Structure: relaxed

It has space group P4/mmm (No. 123), with a = 3.0456 Å, b = 3.0456 Å, c = 7.6617 Å, α = 90.00°, β = 90.00° and γ = 90.00°. Symmetry generates all atoms from Ag at (0.0000, 0.0000, 0.2424), Rh at (0.5000, 0.5000, 0.0000) and Cl at (0.5000, 0.5000, 0.5000).


Arrangement C

Compound: Ag2RhCl
Source: the Alexandria database
Functional: PBE
Structure: relaxed

It has space group Pm (No. 6), with a = 3.8449 Å, b = 3.0959 Å, c = 6.8713 Å, α = 90.00°, β = 105.84° and γ = 90.00°. Symmetry generates all atoms from Ag at (0.0000, 0.0000, 0.0000), Ag at (0.3896, 0.5000, 0.7743), Rh at (0.5970, 0.5000, 0.1992) and Cl at (0.7272, 0.0000, 0.4587).


arrangement C wins, 0.066 eV/atom ahead of the next structure.


Arrangement A

Compound: Ag2RhCl
Source: the Alexandria database
Functional: PBE
Structure: relaxed

It has space group C2/m (No. 12), with a = 10.4438 Å, b = 3.0155 Å, c = 4.6874 Å, α = 90.00°, β = 108.44° and γ = 90.00°. Symmetry generates all atoms from Ag at (0.2438, 0.0000, 0.2425), Rh at (0.0000, 0.5000, 0.0000) and Cl at (0.0000, 0.0000, 0.5000).


Arrangement B

Compound: Ag2RhCl
Source: the Alexandria database
Functional: PBE
Structure: relaxed

It has space group Pmmm (No. 47), with a = 3.0709 Å, b = 4.5864 Å, c = 4.9318 Å, α = 90.00°, β = 90.00° and γ = 90.00°. Symmetry generates all atoms from Ag at (0.0000, 0.0000, 0.0000), Ag at (0.5000, 0.5000, 0.0000), Rh at (0.0000, 0.5000, 0.5000) and Cl at (0.5000, 0.0000, 0.5000).


arrangement A wins, 0.007 eV/atom ahead of the next structure.


Arrangement A

Compound: Ag2RhCl
Source: the Alexandria database
Functional: PBE
Structure: relaxed

It has space group P4mm (No. 99), with a = 3.0258 Å, b = 3.0258 Å, c = 7.6988 Å, α = 90.00°, β = 90.00° and γ = 90.00°. Symmetry generates all atoms from Ag at (0.0000, 0.0000, 0.0000), Ag at (0.5000, 0.5000, 0.2534), Rh at (0.5000, 0.5000, 0.7547) and Cl at (0.0000, 0.0000, 0.5426).


Arrangement B

Compound: Ag2RhCl
Source: the Alexandria database
Functional: PBE
Structure: relaxed

It has space group I-4m2 (No. 119), with a = 4.1814 Å, b = 4.1814 Å, c = 8.1381 Å, α = 90.00°, β = 90.00° and γ = 90.00°. Symmetry generates all atoms from Ag at (0.0000, 0.0000, 0.0000), Ag at (0.0000, 0.5000, 0.2500), Rh at (0.0000, 0.0000, 0.5000) and Cl at (0.0000, 0.5000, 0.7500).


arrangement A wins, 0.213 eV/atom ahead of the next structure.